VASP calculation (GGA+U) on LiCoPO4 after structural relaxation.

Results
**Theoretical density**: 2.951 g/cm3
**Uncorrected energy**: -92.61 eV/cell

abc: 4.915 5.107 7.977
angles: 80.40 76.92 68.79
Positions (direct):
Li (0.238, 0.257, 0.495)
Li (0.762, 0.743, 0.505)
Co (0.253, 0.852, 0.866)
Co (0.747, 0.148, 0.134)
P (0.374, 0.764, 0.258)
P (0.626, 0.236, 0.742)
O (0.183, 0.656, 0.411)
O (0.183, 0.931, 0.114)
O (0.353, 0.465, 0.828)
O (0.492, 0.977, 0.318)
O (0.508, 0.023, 0.682)
O (0.647, 0.535, 0.172)
O (0.817, 0.069, 0.886)
O (0.817, 0.344, 0.589)